The following is a DFT calculation (SCAN) of AlCuF2 at its PBEsol-relaxed geometry.

## Properties
Distance to the lowest polymorph of the same formula = 653 meV/atom
Energy = -8.3713 eV/atom
Uncorrected formation energy = -83.3 kJ/mol of atoms

abc: 4.082 4.082 4.082
angles: 60.00 60.00 60.00
Positions (direct):
Al  0.000  0.000  0.000
Cu  0.500  0.500  0.500
F  0.250  0.250  0.250
F  0.750  0.750  0.750